[1]
Entry from the Alexandria database: HfZrFe2 at its PBEsol-relaxed geometry (SCAN).

## Properties
Space group   Fm-3m
E   -32.63 eV per atom
Formation enthalpy at 0 K   -219.7 meV/atom

Unit cell a=4.3892 b=4.3892 c=4.3892 alpha=60.00 beta=60.00 gamma=60.00
Element x y z (fractional)
Zr (0.0000, 0.0000, 0.0000)
Hf (0.5000, 0.5000, 0.5000)
Fe (0.2500, 0.2500, 0.2500)
Fe (0.7500, 0.7500, 0.7500)

***

[2]
Entry from the Alexandria database: Sr2ZrCrO6 at its PBEsol-relaxed geometry (SCAN).

## Properties
Space group   Fm-3m
E   -16.27 eV per atom
Raw formation energy   -3164 meV per atom

Unit cell a=5.5915 b=5.5915 c=5.5915 alpha=90.00 beta=120.00 gamma=120.00
Element x y z (fractional)
Sr (0.5000, 0.2500, 0.7500)
Sr (0.5000, 0.7500, 0.2500)
O (0.0000, 0.2396, 0.7604)
O (0.5209, 0.7604, 0.7604)
O (0.4791, 0.2396, 0.2396)
O (0.0000, 0.2396, 0.2396)
O (0.0000, 0.7604, 0.2396)
O (0.0000, 0.7604, 0.7604)
Zr (0.0000, 0.5000, 0.5000)
Cr (0.0000, 0.0000, 0.0000)

***

[3]
Entry from the Alexandria database: AlPSeBr2 at its PBEsol-relaxed geometry (SCAN).

## Properties
Space group   P4/mmm
E   -15.23 eV per atom
Raw formation energy   203 meV per atom

Unit cell a=4.7975 b=5.1195 c=5.1195 alpha=90.00 beta=90.00 gamma=90.00
Element x y z (fractional)
Br (0.0000, 0.0000, 0.5000)
Br (0.0000, 0.5000, 0.0000)
Se (0.5000, 0.0000, 0.0000)
P (0.0000, 0.0000, 0.0000)
Al (0.5000, 0.5000, 0.5000)

***

[4]
Entry from the Alexandria database: YGaOF2 at its PBEsol-relaxed geometry (SCAN).

## Properties
Space group   P4/mmm
E   -14.40 eV per atom
Raw formation energy   -2899 meV per atom

Unit cell a=4.3392 b=4.3673 c=4.3673 alpha=90.00 beta=90.00 gamma=90.00
Element x y z (fractional)
Y (0.0000, 0.0000, 0.0000)
F (0.0000, 0.0000, 0.5000)
F (0.0000, 0.5000, 0.0000)
Ga (0.5000, 0.5000, 0.5000)
O (0.5000, 0.0000, 0.0000)

***

[5]
Entry from the Alexandria database: Sr3SiTe at its PBEsol-relaxed geometry (SCAN).

## Properties
Space group   Pm-3m
E   -23.51 eV per atom
Raw formation energy   -689 meV per atom

Unit cell a=5.8624 b=5.8624 c=5.8624 alpha=90.00 beta=90.00 gamma=90.00
Element x y z (fractional)
Sr (0.5000, 0.0000, 0.0000)
Sr (0.0000, 0.0000, 0.5000)
Sr (0.0000, 0.5000, 0.0000)
Te (0.5000, 0.5000, 0.5000)
Si (0.0000, 0.0000, 0.0000)

***

[6]
Entry from the Alexandria database: K2ReHg at its PBEsol-relaxed geometry (SCAN).

## Properties
Space group   Imm2
E   -37.97 eV per atom
Formation enthalpy at 0 K   1006.5 meV/atom

Unit cell a=2.7470 b=6.1723 c=7.3515 alpha=114.82 beta=100.77 gamma=90.00
Element x y z (fractional)
K (0.9728, 0.9728, 0.9457)
K (0.7792, 0.2792, 0.5584)
Re (0.5313, 0.5313, 0.0626)
Hg (0.2166, 0.7166, 0.4333)

***

[7]
Entry from the Alexandria database: HfMoS2 at its PBEsol-relaxed geometry (SCAN).

## Properties
Space group   Fm-3m
E   -29.83 eV per atom
Raw formation energy   -627 meV per atom

Unit cell a=4.3405 b=4.3405 c=4.3405 alpha=60.00 beta=60.00 gamma=60.00
Element x y z (fractional)
Mo (0.0000, 0.0000, 0.0000)
S (0.2500, 0.2500, 0.2500)
S (0.7500, 0.7500, 0.7500)
Hf (0.5000, 0.5000, 0.5000)

***

[8]
Entry from the Alexandria database: CoRuAu2 at its PBEsol-relaxed geometry (SCAN).

## Properties
Space group   P4/mmm
E   -47.20 eV per atom
Formation enthalpy at 0 K   409.4 meV/atom

Unit cell a=2.7460 b=4.6243 c=4.6243 alpha=90.00 beta=90.00 gamma=90.00
Element x y z (fractional)
Au (0.0000, 0.5000, 0.0000)
Au (0.0000, 0.0000, 0.5000)
Ru (0.5000, 0.0000, 0.0000)
Co (0.5000, 0.5000, 0.5000)

***

[9]
Entry from the Alexandria database: Sr4MnN4 at its PBEsol-relaxed geometry (SCAN).

## Properties
Space group   Pnma
E   -16.92 eV per atom
Raw formation energy   -865 meV per atom

Unit cell a=5.1980 b=11.4045 c=11.4875 alpha=90.00 beta=90.00 gamma=90.00
Element x y z (fractional)
N (0.7500, 0.3355, 0.4303)
N (0.7500, 0.6086, 0.0072)
N (0.7500, 0.7890, 0.8232)
N (0.2500, 0.2890, 0.6768)
N (0.7500, 0.5294, 0.7680)
N (0.2500, 0.3914, 0.9928)
N (0.2500, 0.1086, 0.4928)
N (0.7500, 0.1645, 0.9303)
N (0.2500, 0.8355, 0.0697)
N (0.2500, 0.0294, 0.7320)
N (0.7500, 0.9706, 0.2680)
N (0.2500, 0.4706, 0.2320)
N (0.2500, 0.2110, 0.1768)
N (0.7500, 0.8914, 0.5072)
N (0.2500, 0.6645, 0.5697)
N (0.7500, 0.7110, 0.3232)
Sr (0.2500, 0.6650, 0.3604)
Sr (0.2500, 0.9792, 0.2301)
Sr (0.7500, 0.4792, 0.2699)
Sr (0.2500, 0.3197, 0.4092)
Sr (0.7500, 0.1650, 0.1396)
Sr (0.7500, 0.6803, 0.5908)
Sr (0.7500, 0.3350, 0.6396)
Sr (0.2500, 0.1803, 0.9092)
Sr (0.2500, 0.8877, 0.5543)
Sr (0.7500, 0.0208, 0.7699)
Sr (0.2500, 0.5208, 0.7301)
Sr (0.2500, 0.8350, 0.8604)
Sr (0.7500, 0.3877, 0.9457)
Sr (0.2500, 0.6123, 0.0543)
Sr (0.7500, 0.8197, 0.0908)
Sr (0.7500, 0.1123, 0.4457)
Mn (0.7500, 0.8533, 0.3662)
Mn (0.2500, 0.3533, 0.1338)
Mn (0.2500, 0.1467, 0.6338)
Mn (0.7500, 0.6467, 0.8662)

***

[10]
Entry from the Alexandria database: YAsPd3 at its PBEsol-relaxed geometry (SCAN).

## Properties
Space group   Pm-3m
E   -29.87 eV per atom
Formation enthalpy at 0 K   -595.6 meV/atom

Unit cell a=4.6299 b=4.6299 c=4.6299 alpha=90.00 beta=90.00 gamma=90.00
Element x y z (fractional)
Pd (0.0000, 0.0000, 0.5000)
Pd (0.0000, 0.5000, 0.0000)
Pd (0.5000, 0.0000, 0.0000)
Y (0.5000, 0.5000, 0.5000)
As (0.0000, 0.0000, 0.0000)

***

[11]
Entry from the Alexandria database: ZrTaMn2 at its PBEsol-relaxed geometry (SCAN).

## Properties
Space group   Pmm2
E   -33.17 eV per atom
Formation enthalpy at 0 K   282.7 meV/atom

Unit cell a=2.9830 b=4.0303 c=5.1037 alpha=90.00 beta=90.00 gamma=90.00
Element x y z (fractional)
Mn (0.0000, 0.0000, 0.9656)
Mn (0.5000, 0.5000, 0.2921)
Ta (0.0000, 0.0000, 0.4435)
Zr (0.5000, 0.5000, 0.7987)

***

[12]
Entry from the Alexandria database: KFeSn2As at its PBEsol-relaxed geometry (SCAN).

## Properties
Space group   P4/mmm
E   -23.26 eV per atom
Formation enthalpy at 0 K   434.4 meV/atom

Unit cell a=4.4405 b=5.6114 c=5.6114 alpha=90.00 beta=90.00 gamma=90.00
Element x y z (fractional)
K (0.5000, 0.5000, 0.5000)
As (0.0000, 0.0000, 0.0000)
Sn (0.0000, 0.0000, 0.5000)
Sn (0.0000, 0.5000, 0.0000)
Fe (0.5000, 0.0000, 0.0000)

***

[13]
Entry from the Alexandria database: Sc3SbC at its PBEsol-relaxed geometry (SCAN).

## Properties
Space group   Pm-3m
E   -18.88 eV per atom
Raw formation energy   -864 meV per atom

Unit cell a=4.4730 b=4.4730 c=4.4730 alpha=90.00 beta=90.00 gamma=90.00
Element x y z (fractional)
Sc (0.0000, 0.5000, 0.5000)
Sc (0.5000, 0.0000, 0.5000)
Sc (0.5000, 0.5000, 0.0000)
C (0.5000, 0.5000, 0.5000)
Sb (0.0000, 0.0000, 0.0000)

***

[14]
Entry from the Alexandria database: Cu4Si4Pb4C4ClO28 at its PBEsol-relaxed geometry (SCAN).

## Properties
Space group   I4/m
E   -15.41 eV per atom
Raw formation energy   -1476 meV per atom

Unit cell a=5.9782 b=10.3142 c=10.3142 alpha=85.18 beta=73.15 gamma=73.15
Element x y z (fractional)
O (0.3648, 0.1352, 0.1352)
O (0.1116, 0.3140, 0.9945)
O (0.8070, 0.4904, 0.8956)
O (0.3396, 0.6273, 0.3235)
O (0.8884, 0.6860, 0.0055)
O (0.9669, 0.3235, 0.3727)
O (0.5000, 0.1352, 0.8648)
O (0.7096, 0.6273, 0.3235)
O (0.6631, 0.6765, 0.6273)
O (0.4257, 0.9945, 0.6860)
O (0.5798, 0.3140, 0.9945)
O (0.6352, 0.8648, 0.8648)
O (0.1450, 0.1929, 0.5171)
O (0.1062, 0.0055, 0.3140)
O (0.3379, 0.5171, 0.8071)
O (0.2904, 0.3727, 0.6765)
O (0.8550, 0.8071, 0.4829)
O (0.6604, 0.3727, 0.6765)
O (0.8938, 0.9945, 0.6860)
O (0.3369, 0.3235, 0.3727)
O (0.1930, 0.5096, 0.1044)
O (0.0331, 0.6765, 0.6273)
O (0.2974, 0.8956, 0.5096)
O (0.5000, 0.8648, 0.1352)
O (0.4202, 0.6860, 0.0055)
O (0.7026, 0.1044, 0.4904)
O (0.6621, 0.4829, 0.1929)
O (0.5743, 0.0055, 0.3140)
Cu (0.5000, 0.0000, 0.5000)
Cu (0.0000, 0.5000, 0.0000)
Cu (0.0000, 0.0000, 0.5000)
Cu (0.5000, 0.5000, 0.0000)
Pb (0.7712, 0.1976, 0.2600)
Pb (0.0312, 0.7400, 0.1976)
Pb (0.9688, 0.2600, 0.8024)
Pb (0.2288, 0.8024, 0.7400)
C (0.4303, 0.4202, 0.7192)
C (0.1495, 0.2808, 0.4202)
C (0.5697, 0.5798, 0.2808)
C (0.8505, 0.7192, 0.5798)
Si (0.6140, 0.0007, 0.7713)
Si (0.3860, 0.9993, 0.2287)
Si (0.6147, 0.7713, 0.9993)
Si (0.3853, 0.2287, 0.0007)
Cl (0.0000, 0.0000, 0.0000)

***

[15]
Entry from the Alexandria database: HfTe3W at its PBEsol-relaxed geometry (SCAN).

## Properties
Space group   Pm-3m
E   -47.80 eV per atom
Raw formation energy   1027 meV per atom

Unit cell a=5.2024 b=5.2024 c=5.2024 alpha=90.00 beta=90.00 gamma=90.00
Element x y z (fractional)
Hf (0.5000, 0.5000, 0.5000)
Te (0.0000, 0.0000, 0.5000)
Te (0.5000, 0.0000, 0.0000)
Te (0.0000, 0.5000, 0.0000)
W (0.0000, 0.0000, 0.0000)

***

[16]
Entry from the Alexandria database: BaRu2Au at its PBEsol-relaxed geometry (SCAN).

## Properties
Space group   P2/m
E   -44.22 eV per atom
Formation enthalpy at 0 K   373.2 meV/atom

Unit cell a=4.1748 b=4.6844 c=5.0910 alpha=90.00 beta=98.30 gamma=90.00
Element x y z (fractional)
Au (0.5000, 0.5000, 0.0000)
Ru (0.7422, 0.0000, 0.8980)
Ru (0.2578, 0.0000, 0.1020)
Ba (0.0000, 0.5000, 0.5000)

***

[17]
Entry from the Alexandria database: Fe3Pt at its PBEsol-relaxed geometry (SCAN).

## Properties
Space group   R-3m
E   -31.39 eV per atom
Formation enthalpy at 0 K   -241.9 meV/atom

Unit cell a=2.5734 b=4.8251 c=4.8251 alpha=116.91 beta=100.24 gamma=100.24
Element x y z (fractional)
Fe (0.0000, 0.0000, 0.5000)
Fe (0.0000, 0.5000, 0.0000)
Fe (0.5000, 0.5000, 0.5000)
Pt (0.5000, 0.0000, 0.0000)

***

[18]
Entry from the Alexandria database: GdDyZn2 at its PBEsol-relaxed geometry (SCAN).

## Properties
Space group   Fm-3m
E   -33.81 eV per atom
Formation enthalpy at 0 K   -401.0 meV/atom

Unit cell a=4.9718 b=4.9718 c=4.9718 alpha=60.00 beta=60.00 gamma=60.00
Element x y z (fractional)
Gd (0.0000, 0.0000, 0.0000)
Dy (0.5000, 0.5000, 0.5000)
Zn (0.7500, 0.7500, 0.7500)
Zn (0.2500, 0.2500, 0.2500)

***

[19]
Entry from the Alexandria database: TcMo at its PBEsol-relaxed geometry (SCAN).

## Properties
Space group   I4_1/amd
E   -34.74 eV per atom
Formation enthalpy at 0 K   229.5 meV/atom

Unit cell a=3.8739 b=3.8739 c=4.7850 alpha=113.88 beta=113.88 gamma=90.00
Element x y z (fractional)
Tc (0.7500, 0.2500, 0.5000)
Tc (0.5000, 0.5000, 0.0000)
Mo (0.0000, 0.0000, 0.0000)
Mo (0.2500, 0.7500, 0.5000)

***

[20]
Entry from the Alexandria database: Cd3Pb5 at its PBEsol-relaxed geometry (SCAN).

## Properties
Space group   P6_3/mcm
E   -58.68 eV per atom
Formation enthalpy at 0 K   85.9 meV/atom

Unit cell a=6.1729 b=9.0247 c=9.0247 alpha=120.00 beta=90.00 gamma=90.00
Element x y z (fractional)
Pb (0.2500, 0.2223, 0.2223)
Pb (0.2500, 0.0000, 0.7777)
Pb (0.7500, 0.7777, 0.7777)
Pb (0.7500, 0.2223, 0.0000)
Pb (0.0000, 0.3333, 0.6667)
Pb (0.5000, 0.3333, 0.6667)
Pb (0.0000, 0.6667, 0.3333)
Pb (0.5000, 0.6667, 0.3333)
Pb (0.2500, 0.7777, 0.0000)
Pb (0.7500, 0.0000, 0.2223)
Cd (0.2500, 0.5945, 0.5945)
Cd (0.2500, 0.0000, 0.4055)
Cd (0.7500, 0.4055, 0.4055)
Cd (0.7500, 0.5945, 0.0000)
Cd (0.2500, 0.4055, 0.0000)
Cd (0.7500, 0.0000, 0.5945)